# 1
The following is a PBE calculation of a relaxed structure of Al2TeIr, from Alexandria.

POSCAR file:
```
Al2TeIr
1.0
-7.595 0.512 -3.265
-6.779 -2.598 -3.986
-8.006 -1.862 -1.018
Ir Te Al
1 1 2
Direct
0.250 0.250 0.250
0.750 0.750 0.750
0.986 0.986 0.986
0.514 0.514 0.514
```

formation energy without anion corrections = -0.1348 eV per atom
theoretical density = 8.2 g/cm³

# 2
The following is a PBE calculation of a relaxed structure of Pm4Co3C5, from Alexandria.

POSCAR file:
```
Pm4Co3C5
1.0
-1.180 -3.302 -1.459
-1.840 -3.536 4.548
-9.063 0.923 0.299
Pm Co C
4 3 5
Direct
0.898 0.308 0.896
0.258 0.819 0.665
0.742 0.181 0.335
0.102 0.692 0.104
0.455 0.755 0.334
0.000 0.500 0.500
0.545 0.245 0.666
0.603 0.977 0.817
0.500 0.500 0.500
0.313 0.259 0.116
0.687 0.741 0.884
0.397 0.023 0.183
```

energy of formation = -0.23 eV/atom
theoretical density = 7.2 g/cm³

# 3
The following is a PBE calculation of a relaxed structure of CsZnSbAu3, from Alexandria.

POSCAR file:
```
CsZnSbAu3
1.0
-3.815 4.485 -4.295
0.093 -4.732 -5.025
-5.829 -4.504 0.474
Cs Zn Sb Au
2 2 2 6
Direct
0.250 0.228 0.511
0.750 0.772 0.489
0.750 0.144 0.820
0.250 0.856 0.180
0.250 0.572 0.940
0.750 0.428 0.060
0.552 0.800 0.000
0.052 0.200 0.000
0.750 0.283 0.454
0.448 0.200 0.000
0.948 0.800 0.000
0.250 0.717 0.546
```

formation energy without anion corrections = -0.2532 eV per atom
theoretical density = 8.7 g/cm³

The total DFT energy (no corrections) results, record by record, are as follows: -5.01, -7.43, -2.93 eV/atom.